# 1
DFT (meta-GGA SCAN) results for a crystal of Zn2Fe2P relaxed with PBEsol. Values from VASP.

Summary:
DOS(E_F): 2.674 states/eV per cell
ΔH_f (0 K): 0.28 eV/atom
VASP energy: -72.27 eV for the cell shown

Quantum ESPRESSO input file:
```
&SYSTEM
  ibrav = 0, nat = 5, ntyp = 3
/
ATOMIC_SPECIES
Fe 55.84 Fe.upf
Zn 65.41 Zn.upf
P 30.97 P.upf
CELL_PARAMETERS angstrom
-1.781 2.120 -1.602
-2.576 -1.851 0.414
0.876 2.899 6.056
ATOMIC_POSITIONS crystal
Fe 0.413 0.413 0.826
Fe 0.587 0.587 0.174
Zn 0.750 0.250 0.500
Zn 0.250 0.750 0.500
P 0.000 0.000 0.000
```

# 2
DFT (meta-GGA SCAN) results for a crystal of Zn2FeP relaxed with PBEsol. Values from VASP.

Summary:
DOS(E_F): 1.938 states/eV per cell
ΔH_f (0 K): 0.00 eV/atom
VASP energy: -55.55 eV for the cell shown

Quantum ESPRESSO input file:
```
&SYSTEM
  ibrav = 0, nat = 4, ntyp = 3
/
ATOMIC_SPECIES
P 30.97 P.upf
Fe 55.84 Fe.upf
Zn 65.41 Zn.upf
CELL_PARAMETERS angstrom
2.534 0.000 0.000
0.000 3.546 0.000
-1.267 -1.773 5.989
ATOMIC_POSITIONS crystal
P 0.500 0.000 0.000
Fe 0.000 0.500 0.000
Zn 0.313 0.313 0.626
Zn 0.687 0.687 0.374
```

# 3
DFT (meta-GGA SCAN) results for a crystal of ZnFeP4 relaxed with PBEsol. Values from VASP.

Summary:
DOS(E_F): 2.832 states/eV per cell
ΔH_f (0 K): 0.81 eV/atom
VASP energy: -68.39 eV for the cell shown

Quantum ESPRESSO input file:
```
&SYSTEM
  ibrav = 0, nat = 6, ntyp = 3
/
ATOMIC_SPECIES
P 30.97 P.upf
Fe 55.84 Fe.upf
Zn 65.41 Zn.upf
CELL_PARAMETERS angstrom
-0.521 0.322 4.909
3.879 -0.824 2.958
2.072 3.755 2.466
ATOMIC_POSITIONS crystal
P 0.374 0.374 0.374
P 0.374 0.877 0.374
P 0.374 0.374 0.877
P 0.877 0.374 0.374
Fe 0.000 0.000 0.000
Zn 0.750 0.750 0.750
```

# 4
DFT (meta-GGA SCAN) results for a crystal of Zn2FeP relaxed with PBEsol. Values from VASP.

Summary:
DOS(E_F): 1.936 states/eV per cell
ΔH_f (0 K): 0.09 eV/atom
VASP energy: -55.21 eV for the cell shown

Quantum ESPRESSO input file:
```
&SYSTEM
  ibrav = 0, nat = 4, ntyp = 3
/
ATOMIC_SPECIES
Zn 65.41 Zn.upf
P 30.97 P.upf
Fe 55.84 Fe.upf
CELL_PARAMETERS angstrom
3.312 0.000 0.000
0.000 3.312 0.000
0.000 0.000 4.685
ATOMIC_POSITIONS crystal
Zn 0.000 0.000 0.246
Zn 0.000 0.000 0.754
P 0.500 0.500 0.500
Fe 0.500 0.500 0.000
```

# 5
DFT (meta-GGA SCAN) results for a crystal of ZrFeP2 relaxed with PBEsol. Values from VASP.

Summary:
DOS(E_F): 1.895 states/eV per cell
ΔH_f (0 K): -0.49 eV/atom
VASP energy: -71.59 eV for the cell shown
Energy above the lowest structure with this stoichiometry: 0.067 eV per atom

Quantum ESPRESSO input file:
```
&SYSTEM
  ibrav = 0, nat = 4, ntyp = 3
/
ATOMIC_SPECIES
P 30.97 P.upf
Fe 55.84 Fe.upf
Zr 91.22 Zr.upf
CELL_PARAMETERS angstrom
-1.148 -2.115 2.034
4.185 -1.699 0.596
0.151 3.989 1.791
ATOMIC_POSITIONS crystal
P 0.257 0.798 0.514
P 0.010 0.036 0.019
Fe 0.731 0.131 0.462
Zr 0.502 0.535 0.004
```

# 6
DFT (meta-GGA SCAN) results for a crystal of Zr2Fe12P7 relaxed with PBEsol. Values from VASP.

Summary:
DOS(E_F): 7.472 states/eV per cell
ΔH_f (0 K): -0.66 eV/atom
VASP energy: -365.64 eV for the cell shown

Quantum ESPRESSO input file:
```
&SYSTEM
  ibrav = 0, nat = 21, ntyp = 3
/
ATOMIC_SPECIES
P 30.97 P.upf
Fe 55.84 Fe.upf
Zr 91.22 Zr.upf
CELL_PARAMETERS angstrom
-2.315 1.238 2.383
1.053 -7.233 4.780
5.129 6.933 1.382
ATOMIC_POSITIONS crystal
P 0.500 0.623 0.071
P 0.000 0.746 0.781
P 0.500 0.929 0.552
P 0.000 0.333 0.667
P 0.000 0.035 0.254
P 0.000 0.219 0.965
P 0.500 0.448 0.377
Fe 0.500 0.718 0.615
Fe 0.500 0.897 0.282
Fe 0.500 0.385 0.103
Fe 0.500 0.214 0.765
Fe 0.000 0.454 0.943
Fe 0.000 0.057 0.511
Fe 0.500 0.235 0.449
Fe 0.000 0.964 0.728
Fe 0.000 0.272 0.237
Fe 0.000 0.763 0.036
Fe 0.500 0.551 0.786
Fe 0.000 0.489 0.546
Zr 0.500 0.000 0.000
Zr 0.000 0.667 0.333
```